Record 1
The following is a DFT calculation (PBE-GGA) of a geometry-optimized Np2Ti2P2C structure.

Geometry as CIF:
```
data_Np2Ti2P2C
_cell_length_a 4.094
_cell_length_b 4.094
_cell_length_c 14.328
_cell_angle_alpha 90.00
_cell_angle_beta 90.00
_cell_angle_gamma 90.00
_symmetry_space_group_name_H-M 'I 4/m m m'
_symmetry_Int_Tables_number 139
_symmetry_space_group_name_Hall '-I 4 2'
loop_
_atom_site_label
_atom_site_fract_x
_atom_site_fract_y
_atom_site_fract_z
Np1 0.000 0.000 0.170
Ti1 0.000 0.500 0.000
P1 0.000 0.000 0.376
C1 0.000 0.000 0.000
```

Computed properties:
The total energy comes out at -9.518 eV per atom.

Record 2
The following is a DFT calculation (PBE-GGA) of a geometry-optimized Np2V2P2C structure.

Geometry as CIF:
```
data_Np2V2P2C
_cell_length_a 3.990
_cell_length_b 3.990
_cell_length_c 14.040
_cell_angle_alpha 90.00
_cell_angle_beta 90.00
_cell_angle_gamma 90.00
_symmetry_space_group_name_H-M 'I 4/m m m'
_symmetry_Int_Tables_number 139
_symmetry_space_group_name_Hall '-I 4 2'
loop_
_atom_site_label
_atom_site_fract_x
_atom_site_fract_y
_atom_site_fract_z
Np1 0.000 0.000 0.170
V1 0.000 0.500 0.000
P1 0.000 0.000 0.382
C1 0.000 0.000 0.000
```

Computed properties:
The total energy comes out at -9.759 eV per atom.

Looking at ΔH_f (0 K) for the records above, in order, we have -0.70; -0.59 eV/atom.
Looking at DOS(E_F) for the records above, in order, we have 16.71; 14.40 states/eV/f.u..
Looking at spin magnetization for the records above, in order, we have 8.61; 7.17 μB per formula unit.